Record 1
KCuBi2S4: PBEsol geometry, meta-GGA SCAN.

Summary:
Its theoretical density is 5.65 g/cm³. Its symmetry is Cmc2_1. The raw formation energy comes out at -0.5601 eV per atom. The value obtained for the energy is -447.36 eV for the cell shown. As for the crystal system: orthorhombic.

abc: 3.9768 7.1189 14.0212
angles: 90.00 90.00 106.22
Closest atoms and distances in Å follow each position.
Fractional positions:
Cu (0.8460, 0.6920, 0.0154)  4 S 2.29-2.44
Cu (0.1540, 0.3080, 0.5154)  4 S 2.29-2.44
S (0.7295, 0.4589, 0.1407)  1 Cu 2.37
S (0.9871, 0.9741, 0.2708)  4 Bi 2.83-2.85
S (0.4285, 0.8570, 0.0082)  2 Cu 2.29
Bi (0.3564, 0.7127, 0.2001)  6 S 2.77-2.86
K (0.8921, 0.7843, 0.4986)  7 S 3.16-3.45
S (0.7435, 0.4871, 0.8726)  1 Cu 2.44
S (0.2705, 0.5411, 0.6407)  1 Cu 2.37
S (0.5715, 0.1430, 0.5082)  2 Cu 2.29
K (0.1079, 0.2157, 0.9986)  7 S 3.16-3.45
Bi (0.6258, 0.2516, 0.3193)  6 S 2.75-2.88
Bi (0.3742, 0.7484, 0.8193)  6 S 2.75-2.88
S (0.2565, 0.5129, 0.3726)  1 Cu 2.44
S (0.0129, 0.0259, 0.7708)  4 Bi 2.83-2.85
Bi (0.6436, 0.2873, 0.7001)  6 S 2.77-2.86

---

Record 2
La3Cu3Bi4: PBEsol geometry, meta-GGA SCAN.

Summary:
Its theoretical density is 9.75 g/cm³. Its symmetry is I-43d. The value obtained for the energy is -993.94 eV for the cell shown. As for the crystal system: cubic. As for the formation energy: -0.7738 eV per atom.

abc: 8.6104 8.6104 8.6104
angles: 109.47 109.47 109.47
Closest atoms and distances in Å follow each position.
Fractional positions:
Cu (0.7500, 0.1250, 0.3750)  4 Bi 2.77, 4 La 3.04
La (0.3750, 0.7500, 0.1250)  4 Cu 3.04
Cu (0.8750, 0.7500, 0.6250)  4 Bi 2.77, 4 La 3.04
Bi (0.5000, 0.6645, 0.5000)  3 Cu 2.77
Bi (0.8355, 0.8355, 0.3355)  3 Cu 2.77
La (0.2500, 0.8750, 0.6250)  4 Cu 3.04
Cu (0.2500, 0.3750, 0.1250)  4 Bi 2.77, 4 La 3.04
La (0.1250, 0.2500, 0.3750)  4 Cu 3.04
Bi (0.5000, 0.1645, 0.5000)  3 Cu 2.77
Bi (0.3355, 0.3355, 0.8355)  3 Cu 2.77
Bi (0.0000, 0.5000, 0.1645)  3 Cu 2.77
Cu (0.1250, 0.8750, 0.2500)  4 Bi 2.77, 4 La 3.04
Cu (0.3750, 0.6250, 0.7500)  4 Bi 2.77, 4 La 3.04
Cu (0.6250, 0.2500, 0.8750)  4 Bi 2.77, 4 La 3.04
Bi (0.6645, 0.0000, 0.0000)  3 Cu 2.77
La (0.8750, 0.1250, 0.7500)  4 Cu 3.04
La (0.6250, 0.3750, 0.2500)  4 Cu 3.04
La (0.7500, 0.6250, 0.8750)  4 Cu 3.04
Bi (0.0000, 0.5000, 0.6645)  3 Cu 2.77
Bi (0.1645, 0.0000, 0.0000)  3 Cu 2.77

---

Record 3
Sr2LaCu2Bi2O8: PBEsol geometry, meta-GGA SCAN.

Summary:
Its theoretical density is 7.40 g/cm³. Its symmetry is Cccm. The raw formation energy comes out at -1.9503 eV per atom. The value obtained for the energy is -708.64 eV for the cell shown. As for the crystal system: orthorhombic.

abc: 5.3192 5.4976 15.3897
angles: 79.71 90.00 90.00
Closest atoms and distances in Å follow each position.
Fractional positions:
Bi (0.5000, 0.2211, 0.0915)  2 O 2.10-2.16
Bi (0.5000, 0.7789, 0.9085)  2 O 2.10-2.16
La (0.5000, 0.5000, 0.5000)  8 O 2.49-2.51
Sr (0.0000, 0.8879, 0.7295)  9 O 2.66-2.94
Bi (0.0000, 0.3126, 0.9085)  2 O 2.10-2.16
Cu (0.0000, 0.4439, 0.6122)  4 O 1.91-1.92
O (0.0000, 0.6548, 0.2298)  1 Bi 2.10
Cu (0.5000, 0.9439, 0.6122)  4 O 1.91-1.92
O (0.2500, 0.8028, 0.3944)  2 Cu 1.92
Sr (0.5000, 0.3826, 0.7295)  9 O 2.66-2.94
Bi (0.0000, 0.6874, 0.0915)  2 O 2.10-2.16
O (0.7500, 0.8028, 0.3944)  2 Cu 1.92
O (0.0000, 0.3452, 0.7702)  1 Bi 2.10
O (0.5000, 0.3885, 0.9030)  1 Bi 2.16
Sr (0.0000, 0.1121, 0.2705)  9 O 2.66-2.94
O (0.7500, 0.3039, 0.3922)  2 Cu 1.91
O (0.5000, 0.8846, 0.7702)  1 Bi 2.10
O (0.5000, 0.1154, 0.2298)  1 Bi 2.10
O (0.5000, 0.6115, 0.0970)  1 Bi 2.16
Cu (0.5000, 0.0561, 0.3878)  4 O 1.91-1.92
Cu (0.0000, 0.5561, 0.3878)  4 O 1.91-1.92
O (0.2500, 0.1972, 0.6056)  2 Cu 1.92
Sr (0.5000, 0.6174, 0.2705)  9 O 2.66-2.94
La (0.0000, 0.0000, 0.5000)  8 O 2.49-2.51
O (0.0000, 0.7085, 0.9030)  1 Bi 2.16
O (0.2500, 0.6961, 0.6078)  2 Cu 1.91
O (0.7500, 0.6961, 0.6078)  2 Cu 1.91
O (0.2500, 0.3039, 0.3922)  2 Cu 1.91
O (0.7500, 0.1972, 0.6056)  2 Cu 1.92
O (0.0000, 0.2915, 0.0970)  1 Bi 2.16

---

Record 4
LiCu2Bi2: PBEsol geometry, meta-GGA SCAN.

Summary:
Its theoretical density is 8.13 g/cm³. Its symmetry is I4/mmm. The value obtained for the energy is -189.08 eV for the cell shown. As for the crystal system: tetragonal. As for the formation energy: 0.1743 eV per atom.

abc: 4.9017 4.9017 5.8326
angles: 114.85 114.85 90.00
Closest atoms and distances in Å follow each position.
Fractional positions:
Cu (0.6254, 0.6254, 0.2509)  1 Cu 2.35
Bi (0.2500, 0.7500, 0.5000)  4 Cu 2.72
Cu (0.3746, 0.3746, 0.7491)  1 Cu 2.35
Li (0.0000, 0.0000, 0.0000)  8 Bi 3.39, 10 Cu 3.51-3.66
Bi (0.7500, 0.2500, 0.5000)  4 Cu 2.72

---

Record 5
LiCuBi2Pd: PBEsol geometry, meta-GGA SCAN.

Summary:
Its theoretical density is 9.58 g/cm³. Its symmetry is P4/mmm. The value obtained for the energy is -205.16 eV for the cell shown. As for the crystal system: tetragonal. As for the formation energy: 0.4719 eV per atom.

abc: 4.2768 4.9110 4.9110
angles: 90.00 90.00 90.00
Closest atoms and distances in Å follow each position.
Fractional positions:
Bi (0.0000, 0.0000, 0.5000)  2 Li 2.46
Cu (0.5000, 0.5000, 0.5000)  8 Bi 3.26, 4 Pd 3.47
Bi (0.0000, 0.5000, 0.0000)  2 Li 2.46
Li (0.0000, 0.0000, 0.0000)  2 Pd 2.14
Pd (0.5000, 0.0000, 0.0000)  2 Li 2.14

---

Record 6
MnCu3Bi: PBEsol geometry, meta-GGA SCAN.

Summary:
Its theoretical density is 6.59 g/cm³. Its symmetry is Pm-3m. The value obtained for the energy is -137.30 eV for the cell shown. As for the crystal system: cubic. As for the formation energy: 1.0276 eV per atom.

abc: 4.8565 4.8565 4.8565
angles: 90.00 90.00 90.00
Closest atoms and distances in Å follow each position.
Fractional positions:
Cu (0.5000, 0.0000, 0.0000)  2 Bi 2.43
Bi (0.0000, 0.0000, 0.0000)  6 Cu 2.43
Mn (0.5000, 0.5000, 0.5000)  12 Cu 3.43
Cu (0.0000, 0.5000, 0.0000)  2 Bi 2.43
Cu (0.0000, 0.0000, 0.5000)  2 Bi 2.43